# Ti2HF (PBE-GGA, relaxed)
data_Ti2HF
_space_group_name_H-M_alt 'F m -3 m'
_space_group_IT_number 225
_space_group_name_Hall '-F 4 2 3'
_cell_length_a 5.634
_cell_length_b 5.634
_cell_length_c 5.634
_cell_angle_alpha 90.00
_cell_angle_beta 90.00
_cell_angle_gamma 90.00
loop_
_atom_site_label
_atom_site_type_symbol
_atom_site_fract_x
_atom_site_fract_y
_atom_site_fract_z
Ti1 Ti 0.250 0.250 0.250
H1 H 0.000 0.000 0.000
F1 F 0.000 0.000 0.500
# - ΔE to the lowest computed polymorph (eV/atom) = 0.665
# - raw total energy (eV for the cell shown) = -88.6



# CaNd2YHg4 (PBE-GGA, relaxed)
data_CaNd2YHg4
_space_group_name_H-M_alt 'R -3 m'
_space_group_IT_number 166
_space_group_name_Hall '-R 3 2"'
_cell_length_a 5.3723
_cell_length_b 5.3723
_cell_length_c 26.2841
_cell_angle_alpha 90.00
_cell_angle_beta 90.00
_cell_angle_gamma 120.00
loop_
_atom_site_label
_atom_site_type_symbol
_atom_site_fract_x
_atom_site_fract_y
_atom_site_fract_z
Ca1 Ca 0.0000 0.0000 0.0000
Nd1 Nd 0.0000 0.0000 0.2518
Y1 Y 0.0000 0.0000 0.5000
Hg1 Hg 0.0000 0.0000 0.1267
Hg2 Hg 0.0000 0.0000 0.3769
# - formation energy from the elements (kcal/mol of atoms) = -11.98
# - raw total energy (eV for the cell shown) = -70.1



# Ba2CrTeSe (PBE-GGA, relaxed)
data_Ba2CrTeSe
_space_group_name_H-M_alt 'P 4/m m m'
_space_group_IT_number 123
_space_group_name_Hall '-P 4 2'
_cell_length_a 6.345
_cell_length_b 6.345
_cell_length_c 4.743
_cell_angle_alpha 90.00
_cell_angle_beta 90.00
_cell_angle_gamma 90.00
loop_
_atom_site_label
_atom_site_type_symbol
_atom_site_fract_x
_atom_site_fract_y
_atom_site_fract_z
Ba1 Ba 0.000 0.500 0.000
Cr1 Cr 0.000 0.000 0.500
Te1 Te 0.500 0.500 0.500
Se1 Se 0.000 0.000 0.000
# - formation energy without anion corrections (eV/f.u.) = -4.0
# - raw total energy (eV for the cell shown) = -24.1



- Which formula does entry 1 have?
  Ti2HF



Please write out number 2 again, unchanged.
# CaNd2YHg4 (PBE-GGA, relaxed)
data_CaNd2YHg4
_space_group_name_H-M_alt 'R -3 m'
_space_group_IT_number 166
_space_group_name_Hall '-R 3 2"'
_cell_length_a 5.3723
_cell_length_b 5.3723
_cell_length_c 26.2841
_cell_angle_alpha 90.00
_cell_angle_beta 90.00
_cell_angle_gamma 120.00
loop_
_atom_site_label
_atom_site_type_symbol
_atom_site_fract_x
_atom_site_fract_y
_atom_site_fract_z
Ca1 Ca 0.0000 0.0000 0.0000
Nd1 Nd 0.0000 0.0000 0.2518
Y1 Y 0.0000 0.0000 0.5000
Hg1 Hg 0.0000 0.0000 0.1267
Hg2 Hg 0.0000 0.0000 0.3769
# - formation energy from the elements (kcal/mol of atoms) = -11.98
# - raw total energy (eV for the cell shown) = -70.1



- Which formula does entry 3 have?
  Ba2CrTeSe



- Among the records above, which one has the lowest raw total energy?
  Ti2HF